Record 1
## Rb3CdAg2Cl6 (GGA-PBE)

Data for a relaxed structure of Rb3CdAg2Cl6.

Its raw formation energy is -107 kJ per mole of atoms. For the magnetic moment, the calculation gives 0.00 μB per atom.

It has space group P-3m1 (No. 164), with a = 7.6595 Å, b = 7.6595 Å, c = 8.2176 Å, α = 90.00°, β = 90.00° and γ = 120.00°. The asymmetric unit holds Rb at (0.0000, 0.0000, 0.0000), Rb at (0.3333, 0.6667, 0.6198), Cd at (0.0000, 0.0000, 0.5000), Ag at (0.3333, 0.6667, 0.1439) and Cl at (0.1627, 0.3253, 0.3036).

Record 2
## TbMgGa2Ir2 (GGA-PBE)

Data for a relaxed structure of TbMgGa2Ir2.

As for the formation energy: -3.9 eV per formula unit. For the magnetic moment, the calculation gives 0.00 μB per atom.

It has space group P-3m1 (No. 164), with a = 4.3715 Å, b = 4.3715 Å, c = 6.5579 Å, α = 90.00°, β = 90.00° and γ = 120.00°. The asymmetric unit holds Tb at (0.0000, 0.0000, 0.0000), Mg at (0.0000, 0.0000, 0.5000), Ga at (0.3333, 0.6667, 0.2927) and Ir at (0.3333, 0.6667, 0.7085).

Record 3
## SbSe2I (GGA-PBE)

Data for a relaxed structure of SbSe2I.

As for the energy relative to the lowest polymorph listed for this composition: 0.000 eV per atom. Its raw formation energy is -7 kJ per mole of atoms. For the magnetic moment, the calculation gives 0.00 μB per atom.

It has space group C2/m (No. 12), with a = 7.4276 Å, b = 4.2628 Å, c = 8.5289 Å, α = 90.00°, β = 97.12° and γ = 90.00°. The asymmetric unit holds Sb at (0.0000, 0.0000, 0.0000), Se at (0.1433, 0.5000, 0.8162) and I at (0.0000, 0.5000, 0.5000).

Record 4
## Sm8Er2Tm3 (GGA-PBE)

Data for a relaxed structure of Sm8Er2Tm3.

As for the formation energy: 2.7 eV per formula unit. For the magnetic moment, the calculation gives 0.00 μB per atom.

It has space group C2/m (No. 12), with a = 20.1351 Å, b = 7.6839 Å, c = 5.6561 Å, α = 90.00°, β = 90.02° and γ = 90.00°. The asymmetric unit holds Sm at (0.1062, 0.2060, 0.9999), Sm at (0.1309, 0.5000, 0.4993), Sm at (0.1714, 0.0000, 0.5005), Er at (0.2399, 0.5000, 0.9991), Tm at (0.0000, 0.2140, 0.5000) and Tm at (0.0000, 0.5000, 0.0000).

Record 5
## CsErZn2Br8 (GGA-PBE)

Data for a relaxed structure of CsErZn2Br8.

Its raw formation energy is -130 kJ per mole of atoms. For the magnetic moment, the calculation gives 0.00 μB per atom.

It has space group R-3 (No. 148, hexagonal axes), with a = 6.8778 Å, b = 6.8778 Å, c = 32.0791 Å, α = 90.00°, β = 90.00° and γ = 120.00°. The asymmetric unit holds Cs at (0.0000, 0.0000, 0.0000), Er at (0.0000, 0.0000, 0.5000), Zn at (0.0000, 0.0000, 0.2433), Br at (0.0000, 0.0000, 0.3168) and Br at (0.0007, 0.6603, 0.2177).

Record 6
## TaTlS2 (GGA-PBE)

Data for a relaxed structure of TaTlS2.

Its raw formation energy is 31 kJ per mole of atoms. For the magnetic moment, the calculation gives 0.01 μB per atom.

It has space group P4/mmm (No. 123), with a = 4.7904 Å, b = 4.7904 Å, c = 3.2164 Å, α = 90.00°, β = 90.00° and γ = 90.00°. The asymmetric unit holds Ta at (0.0000, 0.0000, 0.0000), Tl at (0.5000, 0.5000, 0.0000) and S at (0.0000, 0.5000, 0.5000).

Record 7
## Li2YMg2 (GGA-PBE)

Data for a relaxed structure of Li2YMg2.

As for the formation energy: 0.4 eV per formula unit. As for the energy relative to the lowest polymorph listed for this composition: 0.078 eV per atom. For the magnetic moment, the calculation gives 0.00 μB per atom.

It has space group I4/mmm (No. 139), with a = 4.9761 Å, b = 4.9761 Å, c = 9.3127 Å, α = 90.00°, β = 90.00° and γ = 90.00°. The asymmetric unit holds Li at (0.0000, 0.0000, 0.1260), Y at (0.0000, 0.0000, 0.5000) and Mg at (0.0000, 0.5000, 0.2500).

Record 8
## AlCoNiRu (GGA-PBE)

Data for a relaxed structure of AlCoNiRu.

As for the formation energy: -0.9 eV per formula unit. For the magnetic moment, the calculation gives 0.74 μB per atom.

It has space group F-43m (No. 216), with a = 5.8427 Å, b = 5.8427 Å, c = 5.8427 Å, α = 90.00°, β = 90.00° and γ = 90.00°. The asymmetric unit holds Al at (0.0000, 0.0000, 0.0000), Co at (0.0000, 0.0000, 0.5000), Ni at (0.2500, 0.2500, 0.2500) and Ru at (0.2500, 0.2500, 0.7500).

Record 9
## CaMnIr (GGA-PBE)

Data for a relaxed structure of CaMnIr.

As for the formation energy: 1.3 eV per formula unit. As for the energy relative to the lowest polymorph listed for this composition: 0.625 eV per atom. For the magnetic moment, the calculation gives 1.34 μB per atom.

It has space group P3m1 (No. 156), with a = 3.0610 Å, b = 3.0610 Å, c = 6.9977 Å, α = 90.00°, β = 90.00° and γ = 120.00°. The asymmetric unit holds Ca at (0.0000, 0.0000, 0.0000), Mn at (0.3333, 0.6667, 0.6087) and Ir at (0.6667, 0.3333, 0.3305).

Record 10
## LaPmThAg (GGA-PBE)

Data for a relaxed structure of LaPmThAg.

As for the formation energy: 0.5 eV per formula unit. For the magnetic moment, the calculation gives 0.00 μB per atom.

It has space group F-43m (No. 216), with a = 7.7961 Å, b = 7.7961 Å, c = 7.7961 Å, α = 90.00°, β = 90.00° and γ = 90.00°. The asymmetric unit holds La at (0.0000, 0.0000, 0.0000), Pm at (0.2500, 0.2500, 0.7500), Th at (0.0000, 0.0000, 0.5000) and Ag at (0.2500, 0.2500, 0.2500).

Record 11
## Tb2CO (GGA-PBE)

Data for a relaxed structure of Tb2CO.

As for the energy relative to the lowest polymorph listed for this composition: 0.462 eV per atom. Its raw formation energy is -119 kJ per mole of atoms. For the magnetic moment, the calculation gives 0.00 μB per atom.

It has space group R-3m (No. 166, hexagonal axes), with a = 3.8338 Å, b = 3.8338 Å, c = 20.1924 Å, α = 90.00°, β = 90.00° and γ = 120.00°. The asymmetric unit holds Tb at (0.0000, 0.0000, 0.1021), C at (0.0000, 0.0000, 0.5000) and O at (0.0000, 0.0000, 0.0000).

Record 12
## YPaCrC3 (GGA-PBE)

Data for a relaxed structure of YPaCrC3.

As for the formation energy: -1.2 eV per formula unit. For the magnetic moment, the calculation gives 0.00 μB per atom.

It has space group C2/m (No. 12), with a = 13.1467 Å, b = 3.8054 Å, c = 6.9327 Å, α = 90.00°, β = 105.64° and γ = 90.00°. The asymmetric unit holds Y at (0.1470, 0.0000, 0.0780), Pa at (0.1462, 0.0000, 0.5706), Cr at (0.0045, 0.5000, 0.7675), C at (0.0021, 0.0000, 0.2554), C at (0.1549, 0.5000, 0.8145) and C at (0.1638, 0.5000, 0.3539).

The highest magnetic moment belongs to which entry? CaMnIr

magnetic moment of number 10 (LaPmThAg)? 0.00 μB per atom

magnetic moment of number 7 (Li2YMg2)? 0.00 μB per atom